Entry 1:
# Ce2PrPu

A geometry-optimized Ce2PrPu structure (PBE-GGA, Alexandria).

Unit cell a=3.4097 b=3.4097 c=9.8062 alpha=90.00 beta=90.00 gamma=90.00
Last column: nearest neighbours and their distance in Å.
Fractional positions:
Pr1 0.5000 0.5000 0.5000  4 Pr 3.41, 8 Ce 3.65
Ce1 0.0000 0.0000 0.7796  4 Pu 3.24, 4 Ce 3.41
Ce2 0.0000 0.0000 0.2204  4 Pu 3.24, 4 Ce 3.41
Pu1 0.5000 0.5000 0.0000  8 Ce 3.24, 4 Pu 3.41

Results
Relative energy among the computed polymorphs (eV per formula unit): 0.000
Density of states at the Fermi level (states/eV per cell): 11.280
Symmetry: P4/mmm (123)
Formation enthalpy at 0 K (meV/atom): 119
Final energy (eV for the cell shown): -30.50

***

Entry 2:
# CePr2Pu

A geometry-optimized CePr2Pu structure (PBE-GGA, Alexandria).

Unit cell a=3.5896 b=3.5896 c=11.9571 alpha=81.37 beta=81.37 gamma=60.00
Last column: nearest neighbours and their distance in Å.
Fractional positions:
Ce1 0.5000 0.5000 0.4999  6 Ce 3.59, 6 Pr 3.63
Pr1 0.0822 0.0822 0.7534  3 Pu 3.57, 6 Pr 3.59, 3 Ce 3.63
Pr2 0.2510 0.2510 0.2469  3 Pu 3.57, 6 Pr 3.59, 3 Ce 3.63
Pu1 0.6667 0.6667 0.9998  6 Pr 3.57, 6 Pu 3.59

Results
Relative energy among the computed polymorphs (eV per formula unit): 0.063
Density of states at the Fermi level (states/eV per cell): 13.981
Symmetry: R3m (160)
Formation enthalpy at 0 K (meV/atom): 185
Final energy (eV for the cell shown): -29.08

***

Entry 3:
# Ce4PrPu

A geometry-optimized Ce4PrPu structure (PBE-GGA, Alexandria).

Unit cell a=6.2122 b=6.2122 c=6.2122 alpha=60.00 beta=60.00 gamma=60.00
Last column: nearest neighbours and their distance in Å.
Fractional positions:
Pr1 0.2500 0.2500 0.2500  12 Ce 3.64, 4 Pu 3.80
Ce1 0.6241 0.6241 0.1278  6 Ce 3.08-3.13
Ce2 0.6241 0.1278 0.6241  6 Ce 3.08-3.13
Ce3 0.6241 0.6241 0.6241  6 Ce 3.08-3.13
Ce4 0.1278 0.6241 0.6241  6 Ce 3.08-3.13
Pu1 0.0000 0.0000 0.0000  12 Ce 3.64, 4 Pr 3.80

Results
Density of states at the Fermi level (states/eV per cell): 19.325
Symmetry: F-43m (216)
Formation enthalpy at 0 K (meV/atom): 264
Final energy (eV for the cell shown): -41.26

***

Entry 4:
# Ce2Pr2PuRh5

A geometry-optimized Ce2Pr2PuRh5 structure (PBE-GGA, Alexandria).

Unit cell a=3.6153 b=10.9810 c=10.9810 alpha=90.00 beta=90.00 gamma=90.00
Last column: nearest neighbours and their distance in Å.
Fractional positions:
Ce1 0.0000 0.1399 0.6399  6 Rh 2.76-2.83, 1 Pr 2.96
Ce2 0.0000 0.8601 0.3601  6 Rh 2.76-2.83, 1 Pr 2.96
Ce3 0.0000 0.6399 0.8601  6 Rh 2.76-2.83, 1 Pr 2.96
Ce4 0.0000 0.3601 0.1399  6 Rh 2.76-2.83, 1 Pr 2.96
Pr1 0.0000 0.6693 0.1693  1 Ce 2.96, 2 Rh 3.19
Pr2 0.0000 0.3307 0.8307  1 Ce 2.96, 2 Rh 3.19
Pr3 0.0000 0.1693 0.3307  1 Ce 2.96, 2 Rh 3.19
Pr4 0.0000 0.8307 0.6693  1 Ce 2.96, 2 Rh 3.19
Pu1 0.0000 0.0000 0.0000  8 Rh 2.83
Pu2 0.0000 0.5000 0.5000  8 Rh 2.83
Rh1 0.5000 0.1911 0.0542  2 Ce 2.76, 2 Pu 2.83, 2 Rh 3.09
Rh2 0.5000 0.8089 0.9458  2 Ce 2.76, 2 Pu 2.83, 2 Rh 3.09
Rh3 0.5000 0.0542 0.8089  2 Ce 2.76, 2 Pu 2.83, 2 Rh 3.09
Rh4 0.5000 0.6911 0.4458  2 Ce 2.76, 2 Pu 2.83, 2 Rh 3.09
Rh5 0.5000 0.9458 0.1911  2 Ce 2.76, 2 Pu 2.83, 2 Rh 3.09
Rh6 0.5000 0.3089 0.5542  2 Ce 2.76, 2 Pu 2.83, 2 Rh 3.09
Rh7 0.5000 0.5542 0.6911  2 Ce 2.76, 2 Pu 2.83, 2 Rh 3.09
Rh8 0.5000 0.4458 0.3089  2 Ce 2.76, 2 Pu 2.83, 2 Rh 3.09
Rh9 0.5000 0.5000 0.0000  4 Ce 2.83
Rh10 0.5000 0.0000 0.5000  4 Ce 2.83

Results
Density of states at the Fermi level (states/eV per cell): 37.940
Symmetry: P4/mbm (127)
Formation enthalpy at 0 K (meV/atom): -497
Final energy (eV for the cell shown): -154.98